Here is a relaxed structure of TbPa2Si from Alexandria via LeMat-Bulk. Energies are from PBE.

Values from the calculation:
- total magnetic moment (μB/f.u.) = 0.000
- total energy (eV/cell) = -84.6
- formation energy from raw total energies (eV per atom) = 0.21

CIF file:
```
data_TbPa2Si
_chemical_formula_sum 'Tb3 Pa6 Si3'
_symmetry_space_group_name_H-M 'R -3 m'
_symmetry_Int_Tables_number 166
_symmetry_space_group_name_Hall '-R 3 2"'
_cell_length_a 3.1783
_cell_length_b 3.1783
_cell_length_c 33.6625
_cell_angle_alpha 90.00
_cell_angle_beta 90.00
_cell_angle_gamma 120.00
loop_
_atom_site_label
_atom_site_type_symbol
_atom_site_fract_x
_atom_site_fract_y
_atom_site_fract_z
Tb1 Tb 0.0000 0.0000 0.0000
Pa1 Pa 0.0000 0.0000 0.0969
Si1 Si 0.0000 0.0000 0.5000
```

---

Here is a relaxed structure of BeCu4 from Alexandria via LeMat-Bulk. Energies are from PBE.

Values from the calculation:
- formation energy from the elements (eV per atom) = 0.1772
- total magnetic moment (μB/f.u.) = 0.000
- total energy (eV/cell) = -76.9

CIF file:
```
data_BeCu4
_chemical_formula_sum 'Be4 Cu16'
_symmetry_space_group_name_H-M 'I 41/a m d'
_symmetry_Int_Tables_number 141
_cell_length_a 6.7500
_cell_length_b 6.7500
_cell_length_c 5.2976
_cell_angle_alpha 90.00
_cell_angle_beta 90.00
_cell_angle_gamma 90.00
loop_
_symmetry_equiv_pos_as_xyz
'x,y,z'
'-x,-y,-z'
'-y+1/4,x+3/4,z+1/4'
'y+1/4,-x+3/4,-z+1/4'
'-x+1/2,-y,z+1/2'
'x+1/2,y,-z+1/2'
'y+1/4,-x+1/4,z+3/4'
'-y+1/4,x+1/4,-z+3/4'
'x,-y,-z'
'-x,y,z'
'-y+1/4,-x+1/4,-z+3/4'
'y+1/4,x+1/4,z+3/4'
'-x+1/2,y,-z+1/2'
'x+1/2,-y,z+1/2'
'y+1/4,x+3/4,-z+1/4'
'-y+1/4,-x+3/4,z+1/4'
'x+1/2,y+1/2,z+1/2'
'-x+1/2,-y+1/2,-z+1/2'
'-y+3/4,x+1/4,z+3/4'
'y+3/4,-x+1/4,-z+3/4'
'-x,-y+1/2,z'
'x,y+1/2,-z'
'y+3/4,-x+3/4,z+1/4'
'-y+3/4,x+3/4,-z+1/4'
'x+1/2,-y+1/2,-z+1/2'
'-x+1/2,y+1/2,z+1/2'
'-y+3/4,-x+3/4,-z+1/4'
'y+3/4,x+3/4,z+1/4'
'-x,y+1/2,-z'
'x,-y+1/2,z'
'y+3/4,x+1/4,-z+3/4'
'-y+3/4,-x+1/4,z+3/4'
loop_
_atom_site_label
_atom_site_type_symbol
_atom_site_fract_x
_atom_site_fract_y
_atom_site_fract_z
Be1 Be 0.0000 0.2500 0.3750
Cu1 Cu 0.0000 0.0565 0.7237
```

---

Here is a relaxed structure of NbAlV3 from Alexandria via LeMat-Bulk. Energies are from PBE.

Values from the calculation:
- formation energy from the elements (eV per atom) = 1.3326
- total magnetic moment (μB/f.u.) = 0.000
- total energy (eV/cell) = -34.5

CIF file:
```
data_NbAlV3
_chemical_formula_sum 'Nb1 Al1 V3'
_symmetry_space_group_name_H-M 'P m -3 m'
_symmetry_Int_Tables_number 221
_symmetry_space_group_name_Hall '-P 4 2 3'
_cell_length_a 4.5841
_cell_length_b 4.5841
_cell_length_c 4.5841
_cell_angle_alpha 90.00
_cell_angle_beta 90.00
_cell_angle_gamma 90.00
loop_
_atom_site_label
_atom_site_type_symbol
_atom_site_fract_x
_atom_site_fract_y
_atom_site_fract_z
Nb1 Nb 0.0000 0.0000 0.0000
Al1 Al 0.5000 0.5000 0.5000
V1 V 0.0000 0.0000 0.5000
```

---

Here is a relaxed structure of Nb4Pd from Alexandria via LeMat-Bulk. Energies are from PBE.

Values from the calculation:
- formation energy from the elements (eV per atom) = -0.1012
- total magnetic moment (μB/f.u.) = 0.000
- total energy (eV/cell) = -46.0

CIF file:
```
data_Nb4Pd
_chemical_formula_sum 'Nb4 Pd1'
_symmetry_space_group_name_H-M 'P -1'
_symmetry_Int_Tables_number 2
_cell_length_a 2.7764
_cell_length_b 4.7257
_cell_length_c 7.1545
_cell_angle_alpha 109.13
_cell_angle_beta 96.65
_cell_angle_gamma 90.05
loop_
_symmetry_equiv_pos_as_xyz
'x,y,z'
'-x,-y,-z'
loop_
_atom_site_label
_atom_site_type_symbol
_atom_site_fract_x
_atom_site_fract_y
_atom_site_fract_z
Nb1 Nb 0.0798 0.4010 0.3031
Nb2 Nb 0.3126 0.2034 0.9064
Pd1 Pd 0.5000 0.0000 0.5000
```

---

Here is a relaxed structure of InNi2P from Alexandria via LeMat-Bulk. Energies are from PBE.

Values from the calculation:
- formation energy from the elements (eV per atom) = -0.2050
- total magnetic moment (μB/f.u.) = 0.000
- total energy (eV/cell) = -41.1

CIF file:
```
data_InNi2P
_chemical_formula_sum 'In2 Ni4 P2'
_symmetry_space_group_name_H-M 'I m m 2'
_symmetry_Int_Tables_number 44
_cell_length_a 2.9035
_cell_length_b 3.2999
_cell_length_c 12.3991
_cell_angle_alpha 90.00
_cell_angle_beta 90.00
_cell_angle_gamma 90.00
loop_
_symmetry_equiv_pos_as_xyz
'x,y,z'
'-x,-y,z'
'-x,y,z'
'x,-y,z'
'x+1/2,y+1/2,z+1/2'
'-x+1/2,-y+1/2,z+1/2'
'-x+1/2,y+1/2,z+1/2'
'x+1/2,-y+1/2,z+1/2'
loop_
_atom_site_label
_atom_site_type_symbol
_atom_site_fract_x
_atom_site_fract_y
_atom_site_fract_z
In1 In 0.0000 0.0000 0.0000
Ni1 Ni 0.0000 0.0000 0.6333
Ni2 Ni 0.0000 0.5000 0.3097
P1 P 0.0000 0.5000 0.7547
```

---

Here is a relaxed structure of ThTc3Ge3 from Alexandria via LeMat-Bulk. Energies are from PBE.

Values from the calculation:
- formation energy from the elements (eV per atom) = 0.4147
- total magnetic moment (μB/f.u.) = 1.424
- total energy (eV/cell) = -98.9

CIF file:
```
data_ThTc3Ge3
_chemical_formula_sum 'Th2 Tc6 Ge6'
_symmetry_space_group_name_H-M 'P m -3 n'
_symmetry_Int_Tables_number 223
_symmetry_space_group_name_Hall '-P 4n 2 3'
_cell_length_a 6.7388
_cell_length_b 6.7388
_cell_length_c 6.7388
_cell_angle_alpha 90.00
_cell_angle_beta 90.00
_cell_angle_gamma 90.00
loop_
_atom_site_label
_atom_site_type_symbol
_atom_site_fract_x
_atom_site_fract_y
_atom_site_fract_z
Th1 Th 0.0000 0.0000 0.0000
Tc1 Tc 0.0000 0.2500 0.5000
Ge1 Ge 0.0000 0.5000 0.2500
```

---

Here is a relaxed structure of Ba2SrAuO4 from Alexandria via LeMat-Bulk. Energies are from PBE.

Values from the calculation:
- total magnetic moment (μB/f.u.) = 1.056
- total energy (eV/cell) = -170.4
- formation energy from raw total energies (eV per atom) = -1.75

CIF file:
```
data_Ba2SrAuO4
_chemical_formula_sum 'Ba8 Sr4 Au4 O16'
_symmetry_space_group_name_H-M 'C m c m'
_symmetry_Int_Tables_number 63
_symmetry_space_group_name_Hall '-C 2c 2'
_cell_length_a 3.7512
_cell_length_b 12.7931
_cell_length_c 13.1155
_cell_angle_alpha 90.00
_cell_angle_beta 90.00
_cell_angle_gamma 90.00
loop_
_atom_site_label
_atom_site_type_symbol
_atom_site_fract_x
_atom_site_fract_y
_atom_site_fract_z
Ba1 Ba 0.0000 0.1285 0.0497
Sr1 Sr 0.0000 0.3897 0.2500
Au1 Au 0.0000 0.3396 0.7500
O1 O 0.0000 0.0410 0.2500
O2 O 0.0000 0.2129 0.6367
O3 O 0.0000 0.5000 0.0000
```

---

Here is a relaxed structure of Y2BiIr from Alexandria via LeMat-Bulk. Energies are from PBE.

Values from the calculation:
- formation energy from the elements (eV per atom) = -0.4061
- total magnetic moment (μB/f.u.) = 0.000
- total energy (eV/cell) = -109.2

CIF file:
```
data_Y2BiIr
_chemical_formula_sum 'Y8 Bi4 Ir4'
_symmetry_space_group_name_H-M 'I -4 2 d'
_symmetry_Int_Tables_number 122
_symmetry_space_group_name_Hall 'I -4 2bw'
_cell_length_a 8.0282
_cell_length_b 8.0282
_cell_length_c 6.7536
_cell_angle_alpha 90.00
_cell_angle_beta 90.00
_cell_angle_gamma 90.00
loop_
_atom_site_label
_atom_site_type_symbol
_atom_site_fract_x
_atom_site_fract_y
_atom_site_fract_z
Y1 Y 0.1986 0.2500 0.1250
Bi1 Bi 0.0000 0.0000 0.5000
Ir1 Ir 0.0000 0.0000 0.0000
```

---

Which value of total magnetic moment does entry 2 give? 0.000 μB/f.u.

---

What is the total energy in the second record? -76.9 eV/cell